Material: KCu2I6
Method: DFT, PBE-GGA
State: relaxed

Properties
- Total magnetic moment: 0.00 μB per atom
- DFT total energy: -2.359 eV/atom
- Formation energy (no corrections): -2.642 eV per formula unit

abc: 10.8693 10.8693 10.8693
angles: 36.75 36.75 36.75
Last column: nearest neighbours and their distance in Å.
Atoms (fractional coordinates):
1 K 0.0000 0.0000 0.0000  6 I 3.59
2 Cu 0.5739 0.5739 0.5739  3 I 2.47
3 Cu 0.7595 0.7595 0.7595  3 I 2.47
4 I 0.1225 0.7546 0.4012  1 Cu 2.47
5 I 0.2157 0.5691 0.9370  1 Cu 2.47
6 I 0.4012 0.1225 0.7546  1 Cu 2.47
7 I 0.5691 0.9370 0.2157  1 Cu 2.47
8 I 0.7546 0.4012 0.1225  1 Cu 2.47
9 I 0.9370 0.2157 0.5691  1 Cu 2.47

---

Material: BiH7Rh3
Method: DFT, PBE-GGA
State: relaxed

Properties
- Total magnetic moment: 0.00 μB per atom
- DFT total energy: -4.482 eV/atom

abc: 5.6350 5.6350 4.5405
angles: 90.00 90.00 120.00
Last column: nearest neighbours and their distance in Å.
Atoms (fractional coordinates):
1 Bi 0.0000 0.0000 0.0000  3 H 2.71, 6 Rh 2.77-2.84
2 H 0.1831 0.3661 0.4481  2 Rh 1.75
3 H 0.1831 0.8169 0.4481  2 Rh 1.75
4 H 0.5266 0.0531 0.7023  2 Rh 1.74
5 H 0.5266 0.4734 0.7023  2 Rh 1.74
6 H 0.6339 0.8169 0.4481  2 Rh 1.75
7 H 0.6667 0.3333 0.3028  3 Rh 1.86
8 H 0.9469 0.4734 0.7023  2 Rh 1.74
9 Rh 0.3386 0.1693 0.5094  5 H 1.74-1.86
10 Rh 0.8307 0.1693 0.5094  5 H 1.74-1.86
11 Rh 0.8307 0.6614 0.5094  5 H 1.74-1.86

---

Material: HoIn2Hg4
Method: DFT, PBE-GGA
State: relaxed

Properties
- Total magnetic moment: 0.00 μB per atom
- DFT total energy: -1.806 eV/atom
- Formation enthalpy at 0 K: -0.197 eV per atom

abc: 8.7537 8.7537 8.7537
angles: 33.44 33.44 33.44
Last column: nearest neighbours and their distance in Å.
Atoms (fractional coordinates):
1 Ho 0.0000 0.0000 0.0000  8 Hg 3.17-3.30, 6 In 3.54
2 In 0.2522 0.2522 0.2522  8 Hg 2.94-3.27
3 In 0.7478 0.7478 0.7478  8 Hg 2.94-3.27
4 Hg 0.1333 0.1333 0.1333  4 In 2.94-3.18
5 Hg 0.3840 0.3840 0.3840  4 In 3.00-3.27, 3 Ho 3.17
6 Hg 0.6160 0.6160 0.6160  4 In 3.00-3.27, 3 Ho 3.17
7 Hg 0.8667 0.8667 0.8667  4 In 2.94-3.18

---

Material: TbDyOsPd
Method: DFT, PBE-GGA
State: relaxed

Properties
- Total magnetic moment: 0.00 μB per atom
- DFT total energy: -6.942 eV/atom
- Formation enthalpy at 0 K: -0.528 eV per atom

abc: 4.8857 4.8857 4.8857
angles: 60.00 60.00 60.00
Last column: nearest neighbours and their distance in Å.
Atoms (fractional coordinates):
1 Tb 0.0000 0.0000 0.0000  4 Os 2.99, 4 Pd 2.99
2 Dy 0.5000 0.5000 0.5000  4 Os 2.99, 4 Pd 2.99
3 Os 0.7500 0.7500 0.7500  4 Dy 2.99, 4 Tb 2.99
4 Pd 0.2500 0.2500 0.2500  4 Tb 2.99, 4 Dy 2.99

---

Material: NaUHg2S6
Method: DFT, PBE-GGA
State: relaxed

Properties
- Total magnetic moment: 0.00 μB per atom
- DFT total energy: -4.319 eV/atom
- Formation energy (no corrections): -5.210 eV per formula unit

abc: 6.3368 6.6864 7.1958
angles: 73.24 68.17 67.36
Last column: nearest neighbours and their distance in Å.
Atoms (fractional coordinates):
1 Na 0.0000 0.0000 0.0000  6 S 2.86-3.03
2 U 0.5001 0.4941 0.5222  6 S 2.54-2.61
3 Hg 0.3144 0.3574 0.0592  2 S 2.40-2.48
4 Hg 0.8475 0.7937 0.5549  4 S 2.48-2.75
5 S 0.1341 0.3887 0.7961  1 Hg 2.48, 1 U 2.61
6 S 0.2467 0.8258 0.3292  1 Hg 2.50, 1 U 2.56
7 S 0.4658 0.7241 0.7732  1 Hg 2.48, 1 U 2.59
8 S 0.5530 0.2382 0.2867  1 Hg 2.40, 1 U 2.59
9 S 0.7792 0.1598 0.6819  1 U 2.54, 1 Hg 2.68
10 S 0.8453 0.6177 0.2549  1 U 2.55, 2 Hg 2.75-2.86

---

Material: La2TcSb
Method: DFT, PBE-GGA
State: relaxed

Properties
- Total magnetic moment: 0.00 μB per atom
- DFT total energy: -6.355 eV/atom
- Formation energy (no corrections): -1.079 eV per formula unit

abc: 4.9452 4.9452 4.2436
angles: 90.00 90.00 90.00
Last column: nearest neighbours and their distance in Å.
Atoms (fractional coordinates):
1 La 0.0000 0.5000 0.0000  4 Sb 3.26, 4 Tc 3.26, 4 La 3.50
2 La 0.5000 0.0000 0.0000  4 Sb 3.26, 4 Tc 3.26, 4 La 3.50
3 Tc 0.0000 0.0000 0.5000  8 La 3.26, 4 Sb 3.50
4 Sb 0.5000 0.5000 0.5000  8 La 3.26, 4 Tc 3.50

---

Material: FeP2PtS
Method: DFT, PBE-GGA
State: relaxed

Properties
- Total magnetic moment: 0.00 μB per atom
- DFT total energy: -5.296 eV/atom
- Formation energy (no corrections): 2.971 eV per formula unit

abc: 4.1670 4.1670 4.6655
angles: 90.00 90.00 90.00
Last column: nearest neighbours and their distance in Å.
Atoms (fractional coordinates):
1 Fe 0.0000 0.0000 0.0000  4 P 2.08, 2 S 2.33
2 P 0.0000 0.5000 0.0000  2 Fe 2.08
3 P 0.5000 0.0000 0.0000  2 Fe 2.08
4 Pt 0.5000 0.5000 0.5000  4 S 2.95, 8 P 3.13
5 S 0.0000 0.0000 0.5000  2 Fe 2.33

---

Material: VFe2CoAg
Method: DFT, PBE-GGA
State: relaxed

Properties
- Total magnetic moment: 1.71 μB per atom
- DFT total energy: -5.172 eV/atom
- Formation enthalpy at 0 K: 2.028 eV per atom

abc: 4.6397 4.6397 4.6797
angles: 90.00 90.00 90.00
Last column: nearest neighbours and their distance in Å.
Atoms (fractional coordinates):
1 V 0.0000 0.0000 0.0000  2 Ag 2.34
2 Fe 0.0000 0.5000 0.5000  2 Ag 2.32
3 Fe 0.5000 0.0000 0.5000  2 Ag 2.32
4 Co 0.5000 0.5000 0.0000  4 V 3.28, 8 Fe 3.29
5 Ag 0.0000 0.0000 0.5000  4 Fe 2.32, 2 V 2.34

---

Material: Tb2P2Pd3
Method: DFT, PBE-GGA
State: relaxed

Properties
- Total magnetic moment: 0.00 μB per atom
- DFT total energy: -6.125 eV/atom
- Formation enthalpy at 0 K: -1.031 eV per atom

abc: 5.3582 5.3582 7.0098
angles: 112.95 112.95 43.22
Last column: nearest neighbours and their distance in Å.
Atoms (fractional coordinates):
1 Tb 0.1318 0.1318 0.2697  4 P 2.85-2.98, 6 Pd 3.02-3.16
2 Tb 0.8682 0.8682 0.7303  4 P 2.85-2.98, 6 Pd 3.02-3.16
3 P 0.1555 0.1555 0.7071  5 Pd 2.51-2.65
4 P 0.8445 0.8445 0.2929  5 Pd 2.51-2.65
5 Pd 0.3730 0.3730 0.0595  3 P 2.51-2.65, 1 Pd 2.80
6 Pd 0.5000 0.5000 0.5000  4 P 2.55, 2 Pd 2.80
7 Pd 0.6270 0.6270 0.9405  3 P 2.51-2.65, 1 Pd 2.80

---

Material: Sm2Sb4PdRh3
Method: DFT, PBE-GGA
State: relaxed

Properties
- Total magnetic moment: 0.00 μB per atom
- DFT total energy: -6.102 eV/atom
- Formation energy (no corrections): -7.842 eV per formula unit

abc: 4.5559 4.5559 10.4771
angles: 90.00 90.00 90.00
Last column: nearest neighbours and their distance in Å.
Atoms (fractional coordinates):
1 Sm 0.0000 0.5000 0.2430  6 Rh 3.42-3.51, 2 Pd 3.42, 8 Sb 3.42-3.53
2 Sm 0.5000 0.0000 0.7570  6 Rh 3.42-3.51, 2 Pd 3.42, 8 Sb 3.42-3.53
3 Sb 0.0000 0.0000 0.5000  4 Rh 2.62
4 Sb 0.0000 0.5000 0.8670  3 Rh 2.56-2.67, 2 Pd 2.67
5 Sb 0.5000 0.0000 0.1330  3 Rh 2.56-2.67, 2 Pd 2.67
6 Sb 0.5000 0.5000 0.5000  4 Rh 2.62
7 Pd 0.5000 0.5000 0.0000  4 Sb 2.67
8 Rh 0.0000 0.0000 0.0000  4 Sb 2.67
9 Rh 0.0000 0.5000 0.6229  5 Sb 2.56-2.62
10 Rh 0.5000 0.0000 0.3771  5 Sb 2.56-2.62

---

Material: Mg2InIrO8
Method: DFT, PBE-GGA
State: relaxed

Properties
- Total magnetic moment: 0.03 μB per atom
- DFT total energy: -5.791 eV/atom
- Formation energy (no corrections): -15.037 eV per formula unit

abc: 4.6966 6.4866 4.7205
angles: 90.00 92.31 90.00
Last column: nearest neighbours and their distance in Å.
Atoms (fractional coordinates):
1 Mg 0.0000 0.2503 0.0000  6 O 2.05-2.13
2 Mg 0.0000 0.7497 0.0000  6 O 2.05-2.13
3 In 0.5000 0.0000 0.5000  2 O 2.02
4 Ir 0.5000 0.5000 0.5000  6 O 1.88-1.89
5 O 0.1927 0.0000 0.1889  1 In 2.02, 2 Mg 2.05
6 O 0.2132 0.5000 0.2103  1 Ir 1.88
7 O 0.3059 0.2894 0.6900  1 Ir 1.89, 1 Mg 2.11
8 O 0.3059 0.7106 0.6900  1 Ir 1.89, 1 Mg 2.11
9 O 0.6941 0.2894 0.3100  1 Ir 1.89, 1 Mg 2.11
10 O 0.6941 0.7106 0.3100  1 Ir 1.89, 1 Mg 2.11
11 O 0.7868 0.5000 0.7897  1 Ir 1.88
12 O 0.8073 0.0000 0.8111  1 In 2.02, 2 Mg 2.05

---

Material: NaTeHN2
Method: DFT, PBE-GGA
State: relaxed

Properties
- Total magnetic moment: 0.32 μB per atom
- DFT total energy: -3.298 eV/atom

abc: 4.2366 4.2366 3.6037
angles: 90.00 90.00 90.00
Last column: nearest neighbours and their distance in Å.
Atoms (fractional coordinates):
1 Na 0.0000 0.0000 0.0000  8 N 2.78, 4 Te 3.00
2 Te 0.5000 0.5000 0.0000  2 H 1.80
3 H 0.5000 0.5000 0.5000  2 Te 1.80
4 N 0.0000 0.5000 0.5000  2 H 2.12
5 N 0.5000 0.0000 0.5000  2 H 2.12

---

Material: TmPuZnPd
Method: DFT, PBE-GGA
State: relaxed

Properties
- Total magnetic moment: 1.37 μB per atom
- DFT total energy: -6.702 eV/atom
- Formation enthalpy at 0 K: -0.384 eV per atom

abc: 4.9884 4.9884 4.9884
angles: 60.00 60.00 60.00
Last column: nearest neighbours and their distance in Å.
Atoms (fractional coordinates):
1 Tm 0.0000 0.0000 0.0000  4 Pd 3.05, 4 Zn 3.05
2 Pu 0.5000 0.5000 0.5000  4 Pd 3.05, 4 Zn 3.05
3 Zn 0.2500 0.2500 0.2500  4 Tm 3.05, 4 Pu 3.05
4 Pd 0.7500 0.7500 0.7500  4 Tm 3.05, 4 Pu 3.05

---

Material: LaYPd2
Method: DFT, PBE-GGA
State: relaxed

Properties
- Total magnetic moment: 0.00 μB per atom
- DFT total energy: -5.386 eV/atom
- Formation enthalpy at 0 K: 0.058 eV per atom

abc: 6.2436 6.2436 6.2436
angles: 150.24 126.82 62.13
Last column: nearest neighbours and their distance in Å.
Atoms (fractional coordinates):
1 La 0.0000 0.0000 0.0000  2 Pd 2.68
2 Y 0.5000 0.5000 0.0000  2 Pd 2.67
3 Pd 0.2506 0.2506 0.0000  1 Y 2.67, 1 La 2.68
4 Pd 0.7494 0.7494 0.0000  1 Y 2.67, 1 La 2.68

---

Material: CaTlGaF6
Method: DFT, PBE-GGA
State: relaxed

Properties
- Total magnetic moment: 0.00 μB per atom
- DFT total energy: -4.965 eV/atom
- Formation energy (no corrections): -26.066 eV per formula unit

abc: 7.3960 7.3960 7.3960
angles: 118.70 117.43 93.39
Last column: nearest neighbours and their distance in Å.
Atoms (fractional coordinates):
1 Ca 0.0000 0.0000 0.0000  6 F 2.22-2.44
2 Ca 0.5000 0.0000 0.5000  6 F 2.22-2.44
3 Tl 0.3549 0.6049 0.7500  9 F 2.89-3.15
4 Tl 0.6451 0.3951 0.2500  9 F 2.89-3.15
5 Ga 0.0000 0.0000 0.5000  6 F 1.90-1.95
6 Ga 0.0000 0.5000 0.0000  6 F 1.90-1.95
7 F 0.0433 0.3888 0.1949  1 Ga 1.90
8 F 0.0433 0.8484 0.6544  1 Ga 1.90
9 F 0.0499 0.7999 0.2500  2 Ga 1.95
10 F 0.3060 0.1516 0.6949  1 Ga 1.90
11 F 0.3060 0.6112 0.1544  1 Ga 1.90
12 F 0.3600 0.1100 0.2500  2 Ca 2.22
13 F 0.6400 0.8900 0.7500  2 Ca 2.22
14 F 0.6940 0.3888 0.8456  1 Ga 1.90
15 F 0.6940 0.8484 0.3051  1 Ga 1.90
16 F 0.9501 0.2001 0.7500  2 Ga 1.95
17 F 0.9567 0.1516 0.3456  1 Ga 1.90
18 F 0.9567 0.6112 0.8051  1 Ga 1.90

---

Material: Tm12Cu6Rh
Method: DFT, PBE-GGA
State: relaxed

Properties
- Total magnetic moment: 0.00 μB per atom
- DFT total energy: -4.731 eV/atom
- Formation enthalpy at 0 K: -0.226 eV per atom

abc: 8.2779 8.2779 8.2779
angles: 109.47 109.47 109.47
Last column: nearest neighbours and their distance in Å.
Atoms (fractional coordinates):
1 Tm 0.1035 0.8149 0.2886  3 Cu 2.70-2.95
2 Tm 0.1851 0.2886 0.4737  3 Cu 2.70-2.95
3 Tm 0.1851 0.7114 0.8965  3 Cu 2.70-2.95
4 Tm 0.2886 0.1035 0.8149  3 Cu 2.70-2.95
5 Tm 0.2886 0.4737 0.1851  3 Cu 2.70-2.95
6 Tm 0.4737 0.1851 0.2886  3 Cu 2.70-2.95
7 Tm 0.5263 0.8149 0.7114  3 Cu 2.70-2.95
8 Tm 0.7114 0.5263 0.8149  3 Cu 2.70-2.95
9 Tm 0.7114 0.8965 0.1851  3 Cu 2.70-2.95
10 Tm 0.8149 0.2886 0.1035  3 Cu 2.70-2.95
11 Tm 0.8149 0.7114 0.5263  3 Cu 2.70-2.95
12 Tm 0.8965 0.1851 0.7114  3 Cu 2.70-2.95
13 Cu 0.1281 0.6281 0.5000  1 Cu 2.45, 2 Tm 2.70
14 Cu 0.3719 0.5000 0.8719  1 Cu 2.45, 2 Tm 2.70
15 Cu 0.5000 0.1281 0.6281  1 Cu 2.45, 2 Tm 2.70
16 Cu 0.5000 0.8719 0.3719  1 Cu 2.45, 2 Tm 2.70
17 Cu 0.6281 0.5000 0.1281  1 Cu 2.45, 2 Tm 2.70
18 Cu 0.8719 0.3719 0.5000  1 Cu 2.45, 2 Tm 2.70
19 Rh 0.0000 0.0000 0.0000  12 Tm 3.28

---

Material: Ti2CdAg
Method: DFT, PBE-GGA
State: relaxed

Properties
- Total magnetic moment: 0.00 μB per atom
- DFT total energy: -4.949 eV/atom
- Formation enthalpy at 0 K: -0.060 eV per atom

abc: 3.0007 3.0007 8.0907
angles: 90.00 90.00 90.00
Last column: nearest neighbours and their distance in Å.
Atoms (fractional coordinates):
1 Ti 0.0000 0.0000 0.0000  8 Ti 2.81-3.00, 4 Ag 2.89
2 Ti 0.5000 0.5000 0.2280  8 Ti 2.81-3.00, 4 Cd 3.05
3 Cd 0.0000 0.0000 0.4995  4 Ag 2.98, 4 Cd 3.00, 4 Ti 3.05
4 Ag 0.5000 0.5000 0.7576  4 Ti 2.89, 4 Cd 2.98, 4 Ag 3.00

---

Material: TlCu2Ag
Method: DFT, PBE-GGA
State: relaxed

Properties
- Total magnetic moment: 0.00 μB per atom
- DFT total energy: -3.139 eV/atom
- Formation enthalpy at 0 K: 0.213 eV per atom

abc: 5.1811 5.1811 4.7123
angles: 108.63 108.63 34.42
Last column: nearest neighbours and their distance in Å.
Atoms (fractional coordinates):
1 Tl 0.0000 0.0000 0.0000  7 Cu 2.81-2.85, 2 Tl 3.07, 4 Ag 3.10-3.14
2 Cu 0.2421 0.2421 0.8102  2 Cu 2.54, 2 Ag 2.80, 1 Tl 2.82
3 Cu 0.5380 0.5380 0.5216  2 Cu 2.54, 2 Tl 2.81, 3 Ag 2.82
4 Ag 0.7845 0.7845 0.3490  7 Cu 2.80-2.87, 2 Ag 3.07, 2 Tl 3.10

---

Material: SiSnPb3
Method: DFT, PBE-GGA
State: relaxed

Properties
- Total magnetic moment: 0.00 μB per atom
- DFT total energy: -3.161 eV/atom
- Formation energy (no corrections): 4.746 eV per formula unit

abc: 5.7571 5.7571 5.7571
angles: 90.00 90.00 90.00
Last column: nearest neighbours and their distance in Å.
Atoms (fractional coordinates):
1 Si 0.0000 0.0000 0.0000  12 Pb 4.07
2 Sn 0.5000 0.5000 0.5000  6 Pb 2.88
3 Pb 0.0000 0.5000 0.5000  2 Sn 2.88
4 Pb 0.5000 0.0000 0.5000  2 Sn 2.88
5 Pb 0.5000 0.5000 0.0000  2 Sn 2.88

---

Material: BaP2RhW
Method: DFT, PBE-GGA
State: relaxed

Properties
- Total magnetic moment: 0.06 μB per atom
- DFT total energy: -3.872 eV/atom
- Formation enthalpy at 0 K: 2.737 eV per atom

abc: 5.2347 5.2347 4.9360
angles: 90.00 90.00 90.00
Last column: nearest neighbours and their distance in Å.
Atoms (fractional coordinates):
1 Ba 0.0000 0.0000 0.0000  2 Rh 2.47, 4 P 2.62
2 P 0.0000 0.5000 0.0000  2 Ba 2.62
3 P 0.5000 0.0000 0.0000  2 Ba 2.62
4 Rh 0.0000 0.0000 0.5000  2 Ba 2.47
5 W 0.5000 0.5000 0.5000  8 P 3.60, 4 Rh 3.70